A relaxed Pm2Nd4Dy crystal, computed with PBE-GGA.

Unit cell a=20.924 b=20.924 c=20.924 alpha=10.02 beta=10.02 gamma=10.02
Atoms (fractional coordinates):
Pm  0.072  0.072  0.072
Pm  0.928  0.928  0.928
Nd  0.213  0.213  0.213
Nd  0.357  0.357  0.357
Nd  0.643  0.643  0.643
Nd  0.787  0.787  0.787
Dy  0.500  0.500  0.500

Results
Fermi-level density of states	8.93	states/eV per cell
formation energy from the elements	1	kJ/mol of atoms
SG	No. 166
ρ	7.102	g/cm³
calculated volume	240.71	Å³ per cell
energy above the lowest structure with this stoichiometry	0.0	meV per atom

A relaxed La2CuTe crystal, computed with PBE-GGA.

Unit cell a=12.145 b=12.145 c=4.708 alpha=90.00 beta=90.00 gamma=159.71
Atoms (fractional coordinates):
La  0.057  0.943  0.750
La  0.328  0.672  0.750
La  0.672  0.328  0.250
La  0.943  0.057  0.250
Cu  0.467  0.533  0.750
Cu  0.533  0.467  0.250
Te  0.192  0.808  0.750
Te  0.808  0.192  0.250

Results
Fermi-level density of states	6.28	states/eV per cell
formation energy (no corrections)	-77.75	kJ/mol of atoms
SG	No. 63
ρ	6.467	g/cm³
calculated volume	240.82	Å³ per cell

A relaxed ZrCuW2 crystal, computed with PBE-GGA.

Unit cell a=2.720 b=4.070 c=6.108 alpha=90.00 beta=90.00 gamma=90.00
Atoms (fractional coordinates):
Zr  0.000  0.000  0.000
Cu  0.500  0.500  0.257
W  0.000  0.000  0.486
W  0.500  0.500  0.714

Results
Fermi-level density of states	3.90	states/eV per cell
formation energy from the elements	31	kJ/mol of atoms
SG	No. 25
ρ	12.832	g/cm³
calculated volume	67.61	Å³ per cell
energy above the lowest structure with this stoichiometry	201.0	meV per atom